The following is a DFT calculation (PBE) of crystalline NaAgI2 at its relaxed geometry.

formation energy (no corrections): -0.68 eV/atom
energy above the lowest structure with this stoichiometry: 50 meV per atom
M_tot: 0.0000 μB per atom
calculated total energy: -0.18368 Ry per atom
SG: R-3m (166)

a b c (Å): 4.8885 4.8885 8.9890
angles (deg): 74.22 74.22 60.00
Atoms (fractional coordinates):
I: 0.1029 0.1029 0.6913
I: 0.8971 0.8971 0.3087
Na: 0.5000 0.5000 0.5000
Ag: 0.0000 0.0000 0.0000